Compound: CaPmNd2Sb4
Source: Alexandria via LeMat-Bulk
Functional: PBE-GGA
Structure: relaxed

Output
Its magnetic moment is 0.000 μB/f.u. The value obtained for the uncorrected formation energy is -102.9 kJ per mole of atoms. Its density of states at the Fermi level is 5.3 states/eV/cell.

a b c (Å): 7.835 7.831 6.389
angles (deg): 65.96 65.90 48.14
Element x y z (fractional)
Ca (0.000, 0.000, 0.000)
Pm (0.500, 0.500, 0.500)
Nd (0.250, 0.250, 0.250)
Nd (0.750, 0.750, 0.750)
Sb (0.000, 0.000, 0.500)
Sb (0.253, 0.253, 0.747)
Sb (0.500, 0.500, 0.000)
Sb (0.747, 0.747, 0.253)